[1]
A plane-wave DFT calculation with SCAN was carried out for a PBEsol-optimized structure of AuC3.

Values from the calculation:
Relative energy among the computed polymorphs ... 0.0 meV per atom
Magnetization ... 0.000 μB/atom
DFT formation energy ... 2.20 eV per atom

abc: 2.5775 2.5775 7.7264
angles: 90.00 90.00 120.00
Space group P-6m2 (No. 187)
One atom of each set of equivalent atoms:
Au: 0.0000 0.0000 0.0000 x1
C: 0.0000 0.0000 0.5000 x1
C: 0.3333 0.6667 0.3944 x2



[2]
A plane-wave DFT calculation with SCAN was carried out for a PBEsol-optimized structure of Au3C4.

Values from the calculation:
Magnetization ... 0.000 μB/atom
DFT formation energy ... 1.90 eV per atom

abc: 2.572 2.572 23.586
angles: 90.00 90.00 90.00
Space group I4/mmm (No. 139)
One atom of each set of equivalent atoms:
Au: 0.000 0.000 0.000 x2
Au: 0.000 0.000 0.301 x4
C: 0.000 0.000 0.091 x4
C: 0.000 0.000 0.394 x4



[3]
A plane-wave DFT calculation with SCAN was carried out for a PBEsol-optimized structure of Au2C.

Values from the calculation:
Relative energy among the computed polymorphs ... 334.6 meV per atom
Magnetization ... 0.000 μB/atom
DFT formation energy ... 1.61 eV per atom

abc: 3.7064 3.7064 7.4543
angles: 90.00 90.00 120.00
Space group P6_3/mmc (No. 194)
One atom of each set of equivalent atoms:
Au: 0.0000 0.0000 0.0000 x2
Au: 0.3333 0.6667 0.2500 x2
C: 0.3333 0.6667 0.7500 x2



[4]
A plane-wave DFT calculation with SCAN was carried out for a PBEsol-optimized structure of CaAu2CCl.

Values from the calculation:
Magnetization ... 0.000 μB/atom
Raw formation energy ... -383.9 meV/atom

abc: 4.131 4.131 5.561
angles: 90.00 90.00 90.00
Space group P4/mmm (No. 123)
One atom of each set of equivalent atoms:
Ca: 0.000 0.000 0.000 x1
Au: 0.000 0.500 0.500 x2
C: 0.000 0.000 0.500 x1
Cl: 0.500 0.500 0.000 x1



[5]
A plane-wave DFT calculation with SCAN was carried out for a PBEsol-optimized structure of AuCCl2.

Values from the calculation:
Magnetization ... 0.000 μB/atom
Raw formation energy ... 1343.4 meV/atom

abc: 3.0183 3.0183 27.0878
angles: 90.00 90.00 120.00
Space group R-3m (No. 166, hexagonal axes)
One atom of each set of equivalent atoms:
Au: 0.0000 0.0000 0.0000 x3
C: 0.0000 0.0000 0.5000 x3
Cl: 0.0000 0.0000 0.1162 x6



[6]
A plane-wave DFT calculation with SCAN was carried out for a PBEsol-optimized structure of AuC3Cl.

Values from the calculation:
Magnetization ... 0.000 μB/atom
Raw formation energy ... 3656.1 meV/atom

abc: 3.774 3.774 3.774
angles: 90.00 90.00 90.00
Space group Pm-3m (No. 221)
One atom of each set of equivalent atoms:
Au: 0.000 0.000 0.000 x1
C: 0.000 0.500 0.500 x3
Cl: 0.500 0.500 0.500 x1